# 1
Material: CdRu3
Method: DFT, PBE
State: optimized geometry

Computed properties:
D(E_F)   4.898 states/eV per cell
DFT total energy   -27.39 eV/cell
DFT formation energy   0.339 eV/atom

Cell: 2.7568 3.8508 5.8201 Å, 90.00 90.12 90.00°
Closest atoms and distances in Å follow each position.
Space group P2/m (No. 10)
Unique sites:
Cd1 0.0000 0.0000 0.0000 (multiplicity 1)  2 Cd 2.76, 10 Ru 2.87-2.91
Ru1 0.0000 0.0000 0.5000 (multiplicity 1)  10 Ru 2.69-2.76, 2 Cd 2.91
Ru2 0.4993 0.5000 0.2795 (multiplicity 2)  7 Ru 2.57-2.76, 2 Cd 2.87

---

# 2
Material: Cd5Ru3
Method: DFT, PBE
State: optimized geometry

Computed properties:
D(E_F)   34.112 states/eV per cell
DFT total energy   -115.16 eV/cell
DFT formation energy   0.452 eV/atom

Cell: 5.1061 15.1438 7.9858 Å, 90.00 108.53 90.00°
Closest atoms and distances in Å follow each position.
Space group C2/m (No. 12)
Unique sites:
Cd1 0.0982 0.1750 0.1962 (multiplicity 8)  6 Ru 2.78-2.96, 3 Cd 2.97-3.04
Cd2 0.1752 0.4017 0.3504 (multiplicity 8)  6 Ru 2.78-2.96, 3 Cd 2.98-3.04
Cd3 0.2492 0.0000 0.9987 (multiplicity 4)  2 Cd 2.55-2.56
Ru1 0.0000 0.2499 0.5000 (multiplicity 4)  2 Ru 2.55
Ru2 0.0000 0.3299 0.0000 (multiplicity 4)  10 Cd 2.78-2.96
Ru3 0.1697 0.0000 0.3398 (multiplicity 4)  10 Cd 2.78-2.96

---

# 3
Material: CdRu3
Method: DFT, PBE
State: optimized geometry

Computed properties:
D(E_F)   10.480 states/eV per cell
DFT total energy   -54.57 eV/cell
DFT formation energy   0.365 eV/atom

Cell: 2.7895 9.1176 4.8230 Å, 90.00 90.00 90.00°
Closest atoms and distances in Å follow each position.
Space group Imm2 (No. 44)
Unique sites:
Cd1 0.0000 0.0000 0.0000 (multiplicity 2)  10 Ru 2.73-2.89, 2 Cd 2.79
Ru1 0.0000 0.2318 0.6348 (multiplicity 4)  8 Ru 2.63-2.81, 3 Cd 2.75-2.89
Ru2 0.0000 0.5000 0.9871 (multiplicity 2)  6 Ru 2.63-2.79, 4 Cd 2.73-2.84

---

# 4
Material: CdRu2
Method: DFT, PBE
State: optimized geometry

Computed properties:
D(E_F)   8.388 states/eV per cell
DFT total energy   -34.69 eV/cell
DFT formation energy   0.707 eV/atom

Cell: 4.5660 4.5660 5.3656 Å, 90.00 90.00 120.00°
Closest atoms and distances in Å follow each position.
Space group P6_3/mmc (No. 194)
Unique sites:
Cd1 0.3333 0.6667 0.2500 (multiplicity 2)  5 Ru 2.64-2.68
Ru1 0.0000 0.0000 0.0000 (multiplicity 2)  8 Ru 2.68-2.96, 6 Cd 2.96
Ru2 0.3333 0.6667 0.7500 (multiplicity 2)  5 Cd 2.64-2.68

---

# 5
Material: CdRu2
Method: DFT, PBE
State: optimized geometry

Computed properties:
D(E_F)   11.996 states/eV per cell
DFT total energy   -73.02 eV/cell
DFT formation energy   0.404 eV/atom

Cell: 3.8015 12.6172 3.9816 Å, 90.00 90.00 90.00°
Closest atoms and distances in Å follow each position.
Space group Cmcm (No. 63)
Unique sites:
Cd1 0.0000 0.0805 0.2500 (multiplicity 4)  10 Ru 2.77-3.00, 2 Cd 2.84
Ru1 0.0000 0.2499 0.7500 (multiplicity 4)  8 Ru 2.65-2.75, 4 Cd 2.86-2.92
Ru2 0.0000 0.3969 0.2500 (multiplicity 4)  4 Ru 2.65-2.72, 4 Cd 2.77

---

# 6
Material: CdRu2
Method: DFT, PBE
State: optimized geometry

Computed properties:
D(E_F)   20.034 states/eV per cell
DFT total energy   -60.13 eV/cell
DFT formation energy   1.478 eV/atom

Cell: 6.2227 6.2227 6.2227 Å, 90.00 90.00 90.00°
Closest atoms and distances in Å follow each position.
Space group Pa-3 (No. 205)
Unique sites:
Cd1 0.0000 0.0000 0.0000 (multiplicity 4)  6 Ru 2.63
Ru1 0.1032 0.6032 0.8968 (multiplicity 8)  1 Ru 2.23

---

# 7
Material: CdRu4
Method: DFT, PBE
State: optimized geometry

Computed properties:
D(E_F)   8.685 states/eV per cell
DFT total energy   -24.47 eV/cell
DFT formation energy   2.710 eV/atom

Cell: 4.8154 4.8154 4.8154 Å, 90.00 90.00 90.00°
Closest atoms and distances in Å follow each position.
Space group Pm-3m (No. 221)
Unique sites:
Cd1 0.0000 0.0000 0.0000 (multiplicity 1)  6 Ru 2.41
Ru1 0.0000 0.0000 0.5000 (multiplicity 3)  2 Cd 2.41
Ru2 0.5000 0.5000 0.5000 (multiplicity 1)  12 Ru 3.41

---

# 8
Material: Cd5Ru
Method: DFT, PBE
State: optimized geometry

Computed properties:
D(E_F)   16.828 states/eV per cell
DFT total energy   -45.28 eV/cell
DFT formation energy   0.422 eV/atom

Cell: 7.8739 7.8739 7.8739 Å, 90.00 90.00 90.00°
Closest atoms and distances in Å follow each position.
Space group F-43m (No. 216)
Unique sites:
Cd1 0.0000 0.0000 0.0000 (multiplicity 4)  12 Cd 3.27, 4 Ru 3.41
Cd2 0.1244 0.1244 0.3756 (multiplicity 16)  6 Cd 2.77-2.80
Ru1 0.2500 0.2500 0.7500 (multiplicity 4)  16 Cd 3.26-3.41

---

# 9
Material: Cd5Ru3
Method: DFT, PBE
State: optimized geometry

Computed properties:
D(E_F)   17.103 states/eV per cell
DFT total energy   -57.96 eV/cell
DFT formation energy   0.428 eV/atom

Cell: 8.0624 8.0624 5.2911 Å, 90.00 90.00 120.00°
Closest atoms and distances in Å follow each position.
Space group P6_3/mcm (No. 193)
Unique sites:
Cd1 0.0000 0.2397 0.2500 (multiplicity 6)  5 Ru 2.84-2.96
Cd2 0.3333 0.6667 0.0000 (multiplicity 4)  2 Cd 2.65, 6 Ru 2.79
Ru1 0.0000 0.4039 0.7500 (multiplicity 6)  9 Cd 2.79-2.96, 2 Ru 3.07

---

# 10
Material: CdRu2
Method: DFT, PBE
State: optimized geometry

Computed properties:
D(E_F)   16.030 states/eV per cell
DFT total energy   -73.57 eV/cell
DFT formation energy   0.358 eV/atom

Cell: 5.1658 5.1658 8.5805 Å, 90.00 90.00 120.00°
Closest atoms and distances in Å follow each position.
Space group P6_3/mmc (No. 194)
Unique sites:
Cd1 0.3333 0.6667 0.0679 (multiplicity 4)  12 Ru 3.02-3.08, 4 Cd 3.12-3.20
Ru1 0.0000 0.0000 0.0000 (multiplicity 2)  6 Ru 2.65
Ru2 0.1730 0.3460 0.7500 (multiplicity 6)  6 Ru 2.48-2.68

---

# 11
Material: Cd4Ru
Method: DFT, PBE
State: optimized geometry

Computed properties:
D(E_F)   5.717 states/eV per cell
DFT total energy   -10.00 eV/cell
DFT formation energy   0.587 eV/atom

Cell: 5.2066 5.2066 5.2066 Å, 90.00 90.00 90.00°
Closest atoms and distances in Å follow each position.
Space group Pm-3m (No. 221)
Unique sites:
Cd1 0.0000 0.0000 0.0000 (multiplicity 1)  12 Cd 3.68
Cd2 0.0000 0.5000 0.5000 (multiplicity 3)  2 Ru 2.60
Ru1 0.5000 0.5000 0.5000 (multiplicity 1)  6 Cd 2.60

---

# 12
Material: Cd4Ru
Method: DFT, PBE
State: optimized geometry

Computed properties:
D(E_F)   8.228 states/eV per cell
DFT total energy   -20.24 eV/cell
DFT formation energy   0.563 eV/atom

Cell: 3.7748 3.7748 15.1192 Å, 90.00 90.00 90.00°
Closest atoms and distances in Å follow each position.
Space group I4/mmm (No. 139)
Unique sites:
Cd1 0.0000 0.0000 0.0892 (multiplicity 4)  1 Cd 2.70, 4 Ru 2.99
Cd2 0.0000 0.5000 0.2500 (multiplicity 4)  4 Cd 2.67
Ru1 0.0000 0.0000 0.5000 (multiplicity 2)  8 Cd 2.99

---

# 13
Material: CdRu2
Method: DFT, PBE
State: optimized geometry

Computed properties:
D(E_F)   16.146 states/eV per cell
DFT total energy   -67.82 eV/cell
DFT formation energy   0.837 eV/atom

Cell: 6.3231 6.3231 5.1177 Å, 90.00 90.00 90.00°
Closest atoms and distances in Å follow each position.
Space group I4/mcm (No. 140)
Unique sites:
Cd1 0.0000 0.0000 0.2500 (multiplicity 4)  2 Cd 2.56, 8 Ru 2.80
Ru1 0.1281 0.3719 0.0000 (multiplicity 8)  1 Ru 2.29

---

# 14
Material: CdRu2
Method: DFT, PBE
State: optimized geometry

Computed properties:
D(E_F)   11.763 states/eV per cell
DFT total energy   -71.41 eV/cell
DFT formation energy   0.538 eV/atom

Cell: 2.8241 4.5359 16.2032 Å, 90.00 90.00 90.00°
Closest atoms and distances in Å follow each position.
Space group Imma (No. 74)
Unique sites:
Cd1 0.0000 0.2500 0.1304 (multiplicity 4)  2 Cd 2.82, 10 Ru 2.83-3.09
Ru1 0.0000 0.2500 0.5350 (multiplicity 4)  3 Ru 2.47-2.54
Ru2 0.0000 0.2500 0.6874 (multiplicity 4)  3 Ru 2.47

---

# 15
Material: CdRu3
Method: DFT, PBE
State: optimized geometry

Computed properties:
D(E_F)   20.901 states/eV per cell
DFT total energy   -109.23 eV/cell
DFT formation energy   0.359 eV/atom

Cell: 4.8980 9.0203 5.5540 Å, 90.00 90.00 90.00°
Closest atoms and distances in Å follow each position.
Space group Pnma (No. 62)
Unique sites:
Cd1 0.0626 0.2500 0.1336 (multiplicity 4)  10 Ru 2.73-2.95, 2 Cd 2.77
Ru1 0.0785 0.2500 0.6422 (multiplicity 4)  8 Ru 2.62-2.88, 3 Cd 2.73-2.83
Ru2 0.2243 0.5112 0.3731 (multiplicity 8)  8 Ru 2.62-2.88, 3 Cd 2.80-2.88

---

# 16
Material: CdRu2
Method: DFT, PBE
State: optimized geometry

Computed properties:
D(E_F)   6.759 states/eV per cell
DFT total energy   -36.49 eV/cell
DFT formation energy   0.408 eV/atom

Cell: 4.3948 4.3948 5.8866 Å, 90.00 90.00 120.00°
Closest atoms and distances in Å follow each position.
Space group P6_3/mmc (No. 194)
Unique sites:
Cd1 0.0000 0.0000 0.2500 (multiplicity 2)  12 Ru 2.85-3.03, 2 Cd 2.94
Ru1 0.3333 0.6667 0.0307 (multiplicity 4)  4 Ru 2.56-2.58, 3 Cd 2.85

---

# 17
Material: CdRu3
Method: DFT, PBE
State: optimized geometry

Computed properties:
D(E_F)   13.828 states/eV per cell
DFT total energy   -52.70 eV/cell
DFT formation energy   0.598 eV/atom

Cell: 4.9949 4.9949 4.9949 Å, 90.00 90.00 90.00°
Closest atoms and distances in Å follow each position.
Space group Pm-3n (No. 223)
Unique sites:
Cd1 0.0000 0.0000 0.0000 (multiplicity 2)  12 Ru 2.79
Ru1 0.0000 0.2500 0.5000 (multiplicity 6)  2 Ru 2.50, 4 Cd 2.79

---

# 18
Material: CdRu3
Method: DFT, PBE
State: optimized geometry

Computed properties:
D(E_F)   20.102 states/eV per cell
DFT total energy   -78.67 eV/cell
DFT formation energy   0.630 eV/atom

Cell: 8.8483 8.8483 2.7372 Å, 90.00 90.00 120.00°
Closest atoms and distances in Å follow each position.
Space group R-3m (No. 166, hexagonal axes)
Unique sites:
Cd1 0.0000 0.0000 0.0000 (multiplicity 3)  6 Ru 2.71, 2 Cd 2.74
Ru1 0.0000 0.5000 0.0000 (multiplicity 9)  6 Ru 2.71-2.74, 2 Cd 2.71

---

# 19
Material: CdRu2
Method: DFT, PBE
State: optimized geometry

Computed properties:
D(E_F)   4.287 states/eV per cell
DFT total energy   -37.90 eV/cell
DFT formation energy   0.173 eV/atom

Cell: 2.8301 2.8301 11.9662 Å, 90.00 90.00 90.00°
Closest atoms and distances in Å follow each position.
Space group I4/mmm (No. 139)
Unique sites:
Cd1 0.0000 0.0000 0.0000 (multiplicity 2)  4 Cd 2.83, 8 Ru 2.97
Ru1 0.0000 0.0000 0.3170 (multiplicity 4)  8 Ru 2.56-2.83

---

# 20
Material: CdRu3
Method: DFT, PBE
State: optimized geometry

Computed properties:
D(E_F)   10.660 states/eV per cell
DFT total energy   -53.94 eV/cell
DFT formation energy   0.443 eV/atom

Cell: 3.8584 3.8584 8.1774 Å, 90.00 90.00 90.00°
Closest atoms and distances in Å follow each position.
Space group I4/mmm (No. 139)
Unique sites:
Cd1 0.0000 0.0000 0.0000 (multiplicity 2)  12 Ru 2.73-2.81
Ru1 0.0000 0.0000 0.5000 (multiplicity 2)  4 Cd 2.73, 8 Ru 2.81
Ru2 0.0000 0.5000 0.2500 (multiplicity 4)  8 Ru 2.73-2.81, 4 Cd 2.81